Entry 1:
Mn2CdCl | PBE | optimized geometry

Output
Space group: Amm2
Uncorrected formation energy in eV per atom: 0.25
ΔE to the lowest computed polymorph in eV/atom: 0.245

```
Mn2CdCl
1.0
4.392 0.000 0.000
0.000 3.052 -0.003
0.000 1.533 5.560
Cl Mn Cd
1 2 1
Cartesian
2.196 4.012 4.709 Cl
0.000 4.013 5.406 Mn
2.196 0.955 1.202 Mn
0.000 2.482 2.575 Cd
```

=====

Entry 2:
NaYC | PBE | optimized geometry

Output
Space group: Pnma
Calculated formation energy in meV/atom: 173
ΔE to the lowest computed polymorph in eV/atom: 0.306

```
NaYC
1.0
8.036 0.000 0.000
0.000 4.280 0.000
0.000 0.000 6.498
Y Na C
4 4 4
Cartesian
6.834 1.070 2.638 Y
5.219 3.210 5.887 Y
1.202 3.210 3.860 Y
2.816 1.070 0.611 Y
7.457 1.070 5.614 Na
4.596 3.210 2.365 Na
0.578 3.210 0.884 Na
3.440 1.070 4.133 Na
1.248 1.070 2.559 C
2.769 3.210 5.808 C
6.787 3.210 3.940 C
5.266 1.070 0.691 C
```

=====

Entry 3:
KMgSbI6 | PBE | optimized geometry

Output
Space group: P312
Uncorrected formation energy in eV per atom: -0.81

```
KMgSbI6
1.0
7.739 0.000 0.000
3.870 6.702 0.000
0.000 0.000 7.870
K Mg Sb I
1 1 1 6
Cartesian
7.739 0.000 7.870 K
7.739 4.468 3.934 Mg
3.870 2.234 3.935 Sb
9.104 2.508 2.204 I
6.724 6.630 5.666 I
6.374 2.508 5.666 I
10.119 4.267 5.666 I
5.359 4.266 2.203 I
8.755 6.630 2.203 I
```

=====

Entry 4:
AgRuW | PBE | optimized geometry

Output
Space group: I4mm
Calculated formation energy in meV/atom: 393
ΔE to the lowest computed polymorph in eV/atom: 0.086

```
AgRuW
1.0
-0.986 5.755 1.627
-3.012 3.200 4.176
3.651 -4.546 -1.657
Ag Ru W
1 1 1
Cartesian
-3.992 8.943 5.794 Ag
-1.272 2.849 1.846 Ru
-2.732 6.119 3.965 W
```

=====

Entry 5:
AcTbCuAg | PBE | optimized geometry

Output
Space group: F-43m
Calculated formation energy in meV/atom: -155

```
AcTbCuAg
1.0
5.303 0.000 0.000
2.652 4.593 0.000
2.652 1.531 4.330
Ac Tb Cu Ag
1 1 1 1
Cartesian
0.000 0.000 0.000 Ac
5.303 3.062 2.165 Tb
7.955 4.593 3.247 Cu
2.652 1.531 1.082 Ag
```

=====

Entry 6:
TbDy3Ho4 | PBE | optimized geometry

Output
Space group: Cmmm
Calculated formation energy in meV/atom: 205
ΔE to the lowest computed polymorph in eV/atom: 0.200

```
TbDy3Ho4
1.0
-4.455 -0.204 3.372
-2.104 -0.392 -2.804
3.469 -12.788 -0.824
Tb Ho Dy
1 4 3
Cartesian
-2.228 -0.102 1.686 Tb
-3.023 -2.974 0.462 Ho
-0.068 -10.410 -0.719 Ho
-0.362 -7.328 -0.922 Ho
-2.728 -6.055 0.665 Ho
-1.052 -0.196 -1.402 Dy
-3.474 -9.385 -0.523 Dy
0.384 -3.999 0.266 Dy
```

=====

Entry 7:
Li2Cu2F5 | PBE | optimized geometry

Output
Space group: Pnma
Uncorrected formation energy in eV per atom: -2.03
ΔE to the lowest computed polymorph in eV/atom: 0.007

```
Li2Cu2F5
1.0
-1.988 0.122 -2.157
-1.252 -8.424 0.677
-11.601 2.596 10.841
Li Cu F
8 8 20
Cartesian
-2.171 -0.754 -1.039 Li
-3.722 -6.294 0.076 Li
-5.422 -1.400 3.920 Li
-6.531 -3.969 4.796 Li
-8.310 -1.737 4.565 Li
-9.420 -4.306 5.441 Li
-11.120 0.588 9.285 Li
-12.671 -4.952 10.400 Li
-1.887 -3.642 0.534 Cu
-2.984 0.110 1.757 Cu
-5.569 -3.825 1.919 Cu
-7.674 -6.861 3.688 Cu
-7.168 1.155 5.673 Cu
-9.273 -1.881 7.442 Cu
-11.858 -5.816 7.604 Cu
-12.954 -2.064 8.827 Cu
-1.052 -2.150 -0.152 F
-2.530 -7.804 0.891 F
-2.829 -5.012 1.324 F
-3.702 -1.053 0.356 F
-5.276 -6.972 1.471 F
-4.163 -2.708 2.685 F
-5.184 -4.912 3.501 F
-5.935 -0.127 2.466 F
-7.018 -2.609 3.324 F
-8.026 -5.103 4.112 F
-6.815 -0.603 5.249 F
-7.824 -3.097 6.037 F
-8.906 -5.579 6.894 F
-9.657 -0.793 5.860 F
-10.679 -2.998 6.676 F
-9.566 1.266 7.890 F
-11.139 -4.653 9.005 F
-12.013 -0.693 8.037 F
-12.312 2.098 8.470 F
-13.790 -3.556 9.513 F
```

=====

Entry 8:
Sb3Pd8Au2 | PBE | optimized geometry

Output
Space group: R-3m
Uncorrected formation energy in eV per atom: -0.07

```
Sb3Pd8Au2
1.0
-0.760 -3.078 -4.314
4.134 -1.232 -3.171
2.891 -9.480 2.934
Sb Pd Au
3 8 2
Cartesian
0.000 0.000 0.000 Sb
4.385 -8.914 -4.378 Sb
1.880 -4.877 -0.173 Sb
4.843 -11.003 -2.968 Pd
1.421 -2.788 -1.583 Pd
3.792 -4.785 -2.236 Pd
1.344 -5.708 -2.807 Pd
3.412 -6.325 -4.393 Pd
4.920 -8.082 -1.743 Pd
2.473 -9.006 -2.315 Pd
2.853 -7.466 -0.157 Pd
2.429 -3.690 -4.439 Au
3.836 -10.101 -0.112 Au
```

=====

Entry 9:
LiDyIr | PBE | optimized geometry

Output
Space group: P2_1/m
Calculated formation energy in meV/atom: -520
ΔE to the lowest computed polymorph in eV/atom: 0.000

```
LiDyIr
1.0
-2.307 -2.472 -2.084
0.124 -4.595 5.314
-9.931 5.271 4.742
Li Dy Ir
6 6 6
Cartesian
-1.397 -0.220 -0.084 Li
-5.064 -2.192 6.314 Li
-9.623 -0.499 5.568 Li
-7.050 0.396 1.658 Li
-2.491 -1.297 2.404 Li
-10.717 -1.576 8.056 Li
-5.423 -2.369 3.137 Dy
-7.566 -1.200 7.906 Dy
-4.548 -0.596 0.065 Dy
-2.469 -4.454 2.340 Dy
-6.691 0.573 4.835 Dy
-9.645 2.658 5.632 Dy
-9.647 0.813 7.823 Ir
-9.143 0.987 3.274 Ir
-7.479 -2.163 5.169 Ir
-2.467 -2.609 0.148 Ir
-4.635 0.367 2.803 Ir
-2.971 -2.784 4.698 Ir
```

=====

Entry 10:
Sm4AgHg7 | PBE | optimized geometry

Output
Space group: C2/m
Calculated formation energy in meV/atom: -288

```
Sm4AgHg7
1.0
-5.328 -0.060 0.776
-1.639 -4.438 7.090
-1.830 4.764 6.483
Sm Ag Hg
4 1 7
Cartesian
-4.564 1.746 6.163 Sm
-4.233 -1.480 8.185 Sm
-6.580 0.387 10.902 Sm
-2.218 -0.121 3.447 Sm
0.000 0.000 0.000 Ag
-5.015 1.686 3.061 Hg
-3.782 -1.420 11.288 Hg
-1.802 -1.566 6.192 Hg
-6.995 1.832 8.157 Hg
-4.090 1.514 9.399 Hg
-2.664 -0.030 0.388 Hg
-4.707 -1.249 4.949 Hg
```

=====

Entry 11:
Pu3U5As8 | PBE | optimized geometry

Output
Space group: R-3m
Calculated formation energy in meV/atom: -834

```
Pu3U5As8
1.0
7.127 0.000 4.083
2.394 6.713 4.083
0.049 0.034 8.178
Pu U As
3 5 8
Cartesian
3.588 0.017 6.130 Pu
0.024 0.017 4.089 Pu
1.222 3.374 6.130 Pu
3.564 0.000 2.041 U
4.761 3.357 4.083 U
0.000 0.000 0.000 U
1.197 3.357 2.041 U
4.785 3.374 8.172 U
2.414 1.702 8.193 As
3.607 5.048 10.228 As
5.966 1.702 10.228 As
7.165 5.052 12.280 As
7.157 5.046 8.150 As
5.963 1.700 6.115 As
3.604 5.046 6.115 As
2.405 1.696 4.064 As
```

=====

Entry 12:
HfBiPb | PBE | optimized geometry

Output
Space group: P-6m2
Calculated formation energy in meV/atom: 224
ΔE to the lowest computed polymorph in eV/atom: 0.230

```
HfBiPb
1.0
3.263 0.000 0.000
0.000 5.343 0.000
0.000 -2.672 4.627
Pb Hf Bi
1 1 1
Cartesian
2.175 2.672 1.542 Pb
0.545 0.000 3.085 Hf
0.543 0.000 0.000 Bi
```

=====

Number 1: DFT total energy -5.024 eV/atom. Number 2: DFT total energy -5.496 eV/atom. Number 3: DFT total energy -2.605 eV/atom. Number 4: DFT total energy -7.967 eV/atom. Number 5: DFT total energy -4.077 eV/atom. Number 6: DFT total energy -4.389 eV/atom. Number 7: DFT total energy -4.406 eV/atom. Number 8: DFT total energy -4.718 eV/atom. Number 9: DFT total energy -5.646 eV/atom. Number 10: DFT total energy -2.274 eV/atom. Number 11: DFT total energy -9.373 eV/atom. Number 12: DFT total energy -5.623 eV/atom.